# Li3Cd2SnO6 (PBE, relaxed)
data_Li3Cd2SnO6
_chemical_formula_sum 'Li6 Cd4 Sn2 O12'
_symmetry_space_group_name_H-M 'C 1 2/m 1'
_symmetry_Int_Tables_number 12
_symmetry_space_group_name_Hall '-C 2y'
_cell_length_a 5.6054
_cell_length_b 9.7846
_cell_length_c 5.3992
_cell_angle_alpha 90.00
_cell_angle_beta 109.93
_cell_angle_gamma 90.00
loop_
_atom_site_label
_atom_site_type_symbol
_atom_site_fract_x
_atom_site_fract_y
_atom_site_fract_z
_atom_site_occupancy
Li1 Li 0.0000 0.0000 0.0000 1
Li2 Li 0.0000 0.3462 0.0000 1
Cd1 Cd 0.0000 0.1682 0.5000 1
Sn1 Sn 0.0000 0.5000 0.5000 1
O1 O 0.2277 0.5000 0.2595 1
O2 O 0.2301 0.3490 0.7473 1
# Raw formation energy in eV per atom: -1.438